(one)
# Re2RhAu, relaxed, DFT GGA-PBE
data_Re2RhAu
_symmetry_space_group_name_H-M 'P m m m'
_symmetry_Int_Tables_number 47
_cell_length_a 2.7460
_cell_length_b 4.0794
_cell_length_c 5.5225
_cell_angle_alpha 90.00
_cell_angle_beta 90.00
_cell_angle_gamma 90.00
loop_
_symmetry_equiv_pos_as_xyz
'x,y,z'
'-x,-y,-z'
'-x,-y,z'
'x,y,-z'
'x,-y,-z'
'-x,y,z'
'-x,y,-z'
'x,-y,z'
loop_
_atom_site_label
_atom_site_fract_x
_atom_site_fract_y
_atom_site_fract_z
_atom_site_occupancy
Re1 0.0000 0.0000 0.2243 1
Rh1 0.5000 0.5000 0.0000 1
Au1 0.5000 0.5000 0.5000 1
# - Density of states at the Fermi level: 4.644 states/eV/cell



(two)
# Re2RhAu, relaxed, DFT GGA-PBE
data_Re2RhAu
_symmetry_space_group_name_H-M 'C 1 m 1'
_symmetry_Int_Tables_number 8
_cell_length_a 9.2726
_cell_length_b 2.7296
_cell_length_c 4.9184
_cell_angle_alpha 90.00
_cell_angle_beta 99.25
_cell_angle_gamma 90.00
loop_
_symmetry_equiv_pos_as_xyz
'x,y,z'
'x,-y,z'
'x+1/2,y+1/2,z'
'x+1/2,-y+1/2,z'
loop_
_atom_site_label
_atom_site_fract_x
_atom_site_fract_y
_atom_site_fract_z
_atom_site_occupancy
Re1 0.0000 0.0000 0.0000 1
Re2 0.2479 0.0000 0.7744 1
Rh1 0.0131 0.5000 0.5289 1
Au1 0.2542 0.5000 0.2746 1
# - Density of states at the Fermi level: 6.805 states/eV/cell



It is (one) that is the least stable of them.



(one)
# ReRh3Au, relaxed, DFT GGA-PBE
data_ReRh3Au
_symmetry_space_group_name_H-M 'P m -3 m'
_symmetry_Int_Tables_number 221
_symmetry_space_group_name_Hall '-P 4 2 3'
_cell_length_a 4.6801
_cell_length_b 4.6801
_cell_length_c 4.6801
_cell_angle_alpha 90.00
_cell_angle_beta 90.00
_cell_angle_gamma 90.00
loop_
_atom_site_label
_atom_site_fract_x
_atom_site_fract_y
_atom_site_fract_z
_atom_site_occupancy
Re1 0.0000 0.0000 0.0000 1
Rh1 0.0000 0.0000 0.5000 1
Au1 0.5000 0.5000 0.5000 1
# - Density of states at the Fermi level: 3.928 states/eV/cell



(two)
# ReRh3Au, relaxed, DFT GGA-PBE
data_ReRh3Au
_symmetry_space_group_name_H-M 'P m -3 m'
_symmetry_Int_Tables_number 221
_symmetry_space_group_name_Hall '-P 4 2 3'
_cell_length_a 4.7761
_cell_length_b 4.7761
_cell_length_c 4.7761
_cell_angle_alpha 90.00
_cell_angle_beta 90.00
_cell_angle_gamma 90.00
loop_
_atom_site_label
_atom_site_fract_x
_atom_site_fract_y
_atom_site_fract_z
_atom_site_occupancy
Re1 0.0000 0.0000 0.0000 1
Rh1 0.0000 0.5000 0.5000 1
Au1 0.5000 0.5000 0.5000 1
# - Density of states at the Fermi level: 11.436 states/eV/cell



It is (two) that is the least stable of them.



(one)
# Re2Ru2Au, relaxed, DFT GGA-PBE
data_Re2Ru2Au
_symmetry_space_group_name_H-M 'P 4/m b m'
_symmetry_Int_Tables_number 127
_symmetry_space_group_name_Hall '-P 4 2ab'
_cell_length_a 7.6025
_cell_length_b 7.6025
_cell_length_c 2.7510
_cell_angle_alpha 90.00
_cell_angle_beta 90.00
_cell_angle_gamma 90.00
loop_
_atom_site_label
_atom_site_fract_x
_atom_site_fract_y
_atom_site_fract_z
_atom_site_occupancy
Re1 0.1215 0.3785 0.0000 1
Ru1 0.1661 0.6661 0.5000 1
Au1 0.0000 0.0000 0.0000 1
# - Density of states at the Fermi level: 7.759 states/eV/cell



(two)
# Re2Ru2Au, relaxed, DFT GGA-PBE
data_Re2Ru2Au
_symmetry_space_group_name_H-M 'P 4/m b m'
_symmetry_Int_Tables_number 127
_symmetry_space_group_name_Hall '-P 4 2ab'
_cell_length_a 7.5708
_cell_length_b 7.5708
_cell_length_c 2.7454
_cell_angle_alpha 90.00
_cell_angle_beta 90.00
_cell_angle_gamma 90.00
loop_
_atom_site_label
_atom_site_fract_x
_atom_site_fract_y
_atom_site_fract_z
_atom_site_occupancy
Re1 0.1648 0.3352 0.0000 1
Ru1 0.1263 0.6263 0.5000 1
Au1 0.0000 0.0000 0.5000 1
# - Density of states at the Fermi level: 6.817 states/eV/cell



It is (two) that is the least stable of them.



(one)
# ReAuS2, relaxed, DFT GGA-PBE
data_ReAuS2
_symmetry_space_group_name_H-M 'I -4 2 d'
_symmetry_Int_Tables_number 122
_symmetry_space_group_name_Hall 'I -4 2bw'
_cell_length_a 5.5177
_cell_length_b 5.5177
_cell_length_c 10.9359
_cell_angle_alpha 90.00
_cell_angle_beta 90.00
_cell_angle_gamma 90.00
loop_
_atom_site_label
_atom_site_fract_x
_atom_site_fract_y
_atom_site_fract_z
_atom_site_occupancy
Re1 0.0000 0.0000 0.0000 1
Au1 0.0000 0.0000 0.5000 1
S1 0.2096 0.2500 0.1250 1
# - Density of states at the Fermi level: 11.591 states/eV/cell



(two)
# ReAuS2, relaxed, DFT GGA-PBE
data_ReAuS2
_symmetry_space_group_name_H-M 'R -3 m'
_symmetry_Int_Tables_number 166
_symmetry_space_group_name_Hall '-R 3 2"'
_cell_length_a 3.2328
_cell_length_b 3.2328
_cell_length_c 23.5747
_cell_angle_alpha 90.00
_cell_angle_beta 90.00
_cell_angle_gamma 120.00
loop_
_atom_site_label
_atom_site_fract_x
_atom_site_fract_y
_atom_site_fract_z
_atom_site_occupancy
Re1 0.0000 0.0000 0.0000 1
Au1 0.0000 0.0000 0.5000 1
S1 0.0000 0.0000 0.3984 1
# - Density of states at the Fermi level: 6.844 states/eV/cell



(three)
# ReAuS2, relaxed, DFT GGA-PBE
data_ReAuS2
_symmetry_space_group_name_H-M 'F m -3 m'
_symmetry_Int_Tables_number 225
_symmetry_space_group_name_Hall '-F 4 2 3'
_cell_length_a 6.2413
_cell_length_b 6.2413
_cell_length_c 6.2413
_cell_angle_alpha 90.00
_cell_angle_beta 90.00
_cell_angle_gamma 90.00
loop_
_atom_site_label
_atom_site_fract_x
_atom_site_fract_y
_atom_site_fract_z
_atom_site_occupancy
Re1 0.0000 0.0000 0.0000 1
Au1 0.0000 0.0000 0.5000 1
S1 0.2500 0.2500 0.2500 1
# - Density of states at the Fermi level: 10.233 states/eV/cell



It is (three) that is the least stable of them.



(one)
# Re3AuS, relaxed, DFT GGA-PBE
data_Re3AuS
_symmetry_space_group_name_H-M 'P m -3 m'
_symmetry_Int_Tables_number 221
_symmetry_space_group_name_Hall '-P 4 2 3'
_cell_length_a 4.8896
_cell_length_b 4.8896
_cell_length_c 4.8896
_cell_angle_alpha 90.00
_cell_angle_beta 90.00
_cell_angle_gamma 90.00
loop_
_atom_site_label
_atom_site_fract_x
_atom_site_fract_y
_atom_site_fract_z
_atom_site_occupancy
Re1 0.0000 0.0000 0.5000 1
Au1 0.0000 0.0000 0.0000 1
S1 0.5000 0.5000 0.5000 1
# - Density of states at the Fermi level: 8.248 states/eV/cell



(two)
# Re3AuS, relaxed, DFT GGA-PBE
data_Re3AuS
_symmetry_space_group_name_H-M 'P m -3 m'
_symmetry_Int_Tables_number 221
_symmetry_space_group_name_Hall '-P 4 2 3'
_cell_length_a 4.3581
_cell_length_b 4.3581
_cell_length_c 4.3581
_cell_angle_alpha 90.00
_cell_angle_beta 90.00
_cell_angle_gamma 90.00
loop_
_atom_site_label
_atom_site_fract_x
_atom_site_fract_y
_atom_site_fract_z
_atom_site_occupancy
Re1 0.0000 0.0000 0.5000 1
Au1 0.5000 0.5000 0.5000 1
S1 0.0000 0.0000 0.0000 1
# - Density of states at the Fermi level: 2.437 states/eV/cell



It is (one) that is the least stable of them.



(one)
# Re2AuS, relaxed, DFT GGA-PBE
data_Re2AuS
_symmetry_space_group_name_H-M 'F m -3 m'
_symmetry_Int_Tables_number 225
_symmetry_space_group_name_Hall '-F 4 2 3'
_cell_length_a 6.2127
_cell_length_b 6.2127
_cell_length_c 6.2127
_cell_angle_alpha 90.00
_cell_angle_beta 90.00
_cell_angle_gamma 90.00
loop_
_atom_site_label
_atom_site_fract_x
_atom_site_fract_y
_atom_site_fract_z
_atom_site_occupancy
Re1 0.2500 0.2500 0.2500 1
Au1 0.0000 0.0000 0.0000 1
S1 0.0000 0.0000 0.5000 1
# - Density of states at the Fermi level: 14.880 states/eV/cell



(two)
# Re2AuS, relaxed, DFT GGA-PBE
data_Re2AuS
_symmetry_space_group_name_H-M 'I -4 2 d'
_symmetry_Int_Tables_number 122
_symmetry_space_group_name_Hall 'I -4 2bw'
_cell_length_a 4.2056
_cell_length_b 4.2056
_cell_length_c 16.5674
_cell_angle_alpha 90.00
_cell_angle_beta 90.00
_cell_angle_gamma 90.00
loop_
_atom_site_label
_atom_site_fract_x
_atom_site_fract_y
_atom_site_fract_z
_atom_site_occupancy
Re1 0.1601 0.2500 0.1250 1
Au1 0.0000 0.0000 0.5000 1
S1 0.0000 0.0000 0.0000 1
# - Density of states at the Fermi level: 21.525 states/eV/cell



It is (two) that is the least stable of them.



(one)
# ReAu2S, relaxed, DFT GGA-PBE
data_ReAu2S
_symmetry_space_group_name_H-M 'I -4 2 d'
_symmetry_Int_Tables_number 122
_symmetry_space_group_name_Hall 'I -4 2bw'
_cell_length_a 7.4500
_cell_length_b 7.4500
_cell_length_c 5.2004
_cell_angle_alpha 90.00
_cell_angle_beta 90.00
_cell_angle_gamma 90.00
loop_
_atom_site_label
_atom_site_fract_x
_atom_site_fract_y
_atom_site_fract_z
_atom_site_occupancy
Re1 0.0000 0.0000 0.0000 1
Au1 0.2370 0.7500 0.6250 1
S1 0.0000 0.0000 0.5000 1
# - Density of states at the Fermi level: 8.022 states/eV/cell



(two)
# ReAu2S, relaxed, DFT GGA-PBE
data_ReAu2S
_symmetry_space_group_name_H-M 'F m -3 m'
_symmetry_Int_Tables_number 225
_symmetry_space_group_name_Hall '-F 4 2 3'
_cell_length_a 6.5671
_cell_length_b 6.5671
_cell_length_c 6.5671
_cell_angle_alpha 90.00
_cell_angle_beta 90.00
_cell_angle_gamma 90.00
loop_
_atom_site_label
_atom_site_fract_x
_atom_site_fract_y
_atom_site_fract_z
_atom_site_occupancy
Re1 0.0000 0.0000 0.0000 1
Au1 0.2500 0.2500 0.2500 1
S1 0.0000 0.0000 0.5000 1
# - Density of states at the Fermi level: 8.382 states/eV/cell



It is (two) that is the least stable of them.